(1)
Computed, not measured: crystalline TlReRu2 at its relaxed geometry at the PBE-GGA level of DFT.

Its density of states at the Fermi level is 1.62 states/eV/f.u. The formation energy comes out at 0.8843 eV/atom.

Cell: 7.268 7.268 5.654 Å, 90.00 90.00 90.00°
Space group I-42d (No. 122)
Asymmetric unit:
1 Tl 0.000 0.000 0.000 [4 per cell]
2 Re 0.000 0.000 0.500 [4 per cell]
3 Ru 0.194 0.750 0.625 [8 per cell]

***

(2)
Computed, not measured: crystalline TlReRu2 at its relaxed geometry at the PBE-GGA level of DFT.

Its density of states at the Fermi level is 4.77 states/eV/f.u. The formation energy comes out at 0.6286 eV/atom.

Cell: 4.110 4.110 7.571 Å, 90.00 90.00 90.00°
Space group I4/mmm (No. 139)
Asymmetric unit:
1 Tl 0.000 0.000 0.000 [2 per cell]
2 Re 0.000 0.000 0.500 [2 per cell]
3 Ru 0.000 0.500 0.250 [4 per cell]

***

(3)
Computed, not measured: crystalline TlReRu2 at its relaxed geometry at the PBE-GGA level of DFT.

Its density of states at the Fermi level is 3.03 states/eV/f.u. The formation energy comes out at 0.2932 eV/atom.

Cell: 2.896 2.896 7.733 Å, 90.00 90.00 90.00°
Space group P4/mmm (No. 123)
Asymmetric unit:
1 Tl 0.000 0.000 0.000 [1 per cell]
2 Re 0.000 0.000 0.500 [1 per cell]
3 Ru 0.500 0.500 0.279 [2 per cell]

***

(4)
Computed, not measured: crystalline TlReRu at its relaxed geometry at the PBE-GGA level of DFT.

Its density of states at the Fermi level is 2.13 states/eV/f.u. The formation energy comes out at 0.9262 eV/atom.

Cell: 4.5412 4.5412 2.8377 Å, 90.00 90.00 120.00°
Space group P-6m2 (No. 187)
Asymmetric unit:
1 Tl 0.0000 0.0000 0.0000 [1 per cell]
2 Re 0.6667 0.3333 0.5000 [1 per cell]
3 Ru 0.3333 0.6667 0.0000 [1 per cell]

***

Q: What is the density of states at the Fermi level in the third record?
A: 3.03 states/eV/f.u.

***

Q: What is the density of states at the Fermi level in the first record?
A: 1.62 states/eV/f.u.

***

Q: Among the records above, which one has the highest density of states at the Fermi level?
A: number 2

***

Q: What is the density of states at the Fermi level in the first record?
A: 1.62 states/eV/f.u.